This record from the Alexandria database describes a relaxed La3Mn crystal. The functional is PBE-GGA.

Unit cell a=4.9915 b=4.9915 c=4.9915 alpha=90.00 beta=90.00 gamma=90.00
Space group Pm-3m (No. 221)
Asymmetric unit:
La: 0.0000 0.0000 0.5000
Mn: 0.5000 0.5000 0.5000

Computed properties:
formation energy	0.257	eV/atom

This record from the Alexandria database describes a relaxed Be3ReAu crystal. The functional is PBE-GGA.

Unit cell a=4.1769 b=4.1769 c=4.1769 alpha=90.00 beta=90.00 gamma=90.00
Space group Pm-3m (No. 221)
Asymmetric unit:
Be: 0.0000 0.0000 0.5000
Re: 0.5000 0.5000 0.5000
Au: 0.0000 0.0000 0.0000

Computed properties:
offset from the most stable computed form	44.8	meV/atom
formation energy	1.163	eV/atom

This record from the Alexandria database describes a relaxed Fe2CoSe crystal. The functional is PBE-GGA.

Unit cell a=5.2808 b=6.2654 c=3.1225 alpha=90.00 beta=90.18 gamma=90.00
Space group C2/m (No. 12)
Asymmetric unit:
Fe: 0.2500 0.2500 0.0000
Co: 0.0000 0.0000 0.5000
Se: 0.0000 0.5000 0.5000

Computed properties:
ΔE_f (raw)	236	meV per atom

This record from the Alexandria database describes a relaxed TbCe2Sb crystal. The functional is PBE-GGA.

Unit cell a=7.6967 b=7.6967 c=7.6967 alpha=90.00 beta=90.00 gamma=90.00
Space group Fm-3m (No. 225)
Asymmetric unit:
Tb: 0.0000 0.0000 0.0000
Ce: 0.2500 0.2500 0.2500
Sb: 0.0000 0.0000 0.5000

Computed properties:
offset from the most stable computed form	350.9	meV/atom
ΔE_f (raw)	-235	meV per atom

This record from the Alexandria database describes a relaxed Be2CoBr crystal. The functional is PBE-GGA.

Unit cell a=2.7048 b=2.6946 c=8.4373 alpha=90.00 beta=90.22 gamma=90.00
Space group P2/m (No. 10)
Asymmetric unit:
Be: 0.0015 0.0000 0.1308
Co: 0.5000 0.5000 0.0000
Br: 0.0000 0.5000 0.5000

Computed properties:
offset from the most stable computed form	85.1	meV/atom
ΔE_f (raw)	217	meV per atom

This record from the Alexandria database describes a relaxed Pr3AsSe2 crystal. The functional is PBE-GGA.

Unit cell a=7.4284 b=12.8365 c=7.4247 alpha=90.00 beta=109.54 gamma=90.00
Space group C2/c (No. 15)
Asymmetric unit:
Pr: 0.2401 0.0798 0.0009
Pr: 0.2500 0.2500 0.5000
As: 0.0000 0.0848 0.2500
Se: 0.0000 0.2511 0.7500
Se: 0.0000 0.4167 0.2500

Computed properties:
offset from the most stable computed form	4.9	meV/atom
ΔE_f (raw)	-1775	meV per atom

This record from the Alexandria database describes a relaxed ErCd3Ag3 crystal. The functional is PBE-GGA.

Unit cell a=7.4565 b=7.4565 c=7.4565 alpha=90.00 beta=90.00 gamma=90.00
Space group Pm-3n (No. 223)
Asymmetric unit:
Er: 0.0000 0.0000 0.0000
Cd: 0.0000 0.2500 0.5000
Ag: 0.0000 0.5000 0.2500

Computed properties:
offset from the most stable computed form	649.8	meV/atom
formation energy	0.516	eV/atom

This record from the Alexandria database describes a relaxed Nb2NiSe6 crystal. The functional is PBE-GGA.

Unit cell a=6.0728 b=6.0728 c=10.9649 alpha=90.00 beta=90.00 gamma=90.00
Space group P4_2/mnm (No. 136)
Asymmetric unit:
Nb: 0.0000 0.0000 0.1499
Ni: 0.0000 0.0000 0.5000
Se: 0.1916 0.1916 0.3327
Se: 0.2203 0.2203 0.0000

Computed properties:
ΔE_f (raw)	-467	meV per atom